Model one:
DFT (PBE) results for a relaxed structure of BeTl2Fe.

Lattice parameters (Å, degrees): 3.1574 3.1575 7.8754 90.00 90.00 90.00
Closest atoms and distances in Å follow each position.
Fractional positions:
Tl (0.0000, 0.0000, 0.9369)  1 Be 2.68
Tl (0.5000, 0.5000, 0.3027)  1 Fe 2.84, 4 Tl 3.16
Fe (0.5000, 0.5000, 0.6637)  4 Be 2.29
Be (0.0000, 0.0000, 0.5966)  4 Fe 2.29

***

Model two:
DFT (PBE) results for a relaxed structure of BeTl2Fe.

Lattice parameters (Å, degrees): 3.6576 3.9583 5.4597 69.08 90.00 90.00
Closest atoms and distances in Å follow each position.
Fractional positions:
Tl (0.5000, 0.2708, 0.3307)  4 Be 2.83, 3 Fe 2.93-2.94
Tl (0.0000, 0.9830, 0.9119)  4 Fe 2.81, 3 Be 2.88-3.01
Fe (0.5000, 0.5594, 0.7562)  2 Be 2.24
Be (0.0000, 0.6868, 0.5012)  2 Fe 2.24

***

Model three:
DFT (PBE) results for a relaxed structure of BeTl2Fe.

Lattice parameters (Å, degrees): 3.3989 4.6608 4.6608 90.00 90.00 90.00
Closest atoms and distances in Å follow each position.
Fractional positions:
Tl (0.0000, 0.0000, 0.0000)  4 Fe 2.88, 4 Be 2.88
Tl (0.0000, 0.5000, 0.5000)  4 Fe 2.88, 4 Be 2.88
Be (0.5000, 0.5000, 0.0000)  8 Tl 2.88
Fe (0.5000, 0.0000, 0.5000)  8 Tl 2.88

***

Model four:
DFT (PBE) results for a relaxed structure of BeTl2Fe.

Lattice parameters (Å, degrees): 6.3671 6.3671 6.3671 35.67 35.67 35.67
Closest atoms and distances in Å follow each position.
Fractional positions:
Tl (0.0256, 0.0256, 0.0256)  3 Be 2.84, 3 Fe 2.90
Tl (0.2240, 0.2240, 0.2240)  3 Fe 2.83, 3 Be 2.89
Fe (0.7945, 0.7945, 0.7945)  3 Be 2.25
Be (0.4558, 0.4558, 0.4558)  3 Fe 2.25

***

It turns out model one is the most stable, with the second structure 9.0 kJ/mol of atoms higher.

***

Model one:
DFT (PBE) results for a relaxed structure of TmBeFe.

Lattice parameters (Å, degrees): 4.0611 4.0611 5.6860 90.00 90.00 90.00
Closest atoms and distances in Å follow each position.
Fractional positions:
Tm (0.5000, 0.0000, 0.1800)  1 Be 2.68, 4 Fe 2.73
Tm (0.0000, 0.5000, 0.8200)  1 Be 2.68, 4 Fe 2.73
Be (0.0000, 0.5000, 0.3486)  4 Fe 2.21
Be (0.5000, 0.0000, 0.6514)  4 Fe 2.21
Fe (0.0000, 0.0000, 0.5000)  4 Be 2.21
Fe (0.5000, 0.5000, 0.5000)  4 Be 2.21

***

Model two:
DFT (PBE) results for a relaxed structure of TmBeFe.

Lattice parameters (Å, degrees): 3.7825 3.8068 3.8068 120.00 90.00 90.00
Closest atoms and distances in Å follow each position.
Fractional positions:
Fe (0.1666, 0.6667, 0.3333)  3 Be 2.20
Tm (0.6666, 0.3333, 0.6667)  6 Be 2.90, 6 Fe 2.90
Be (0.1667, 0.0000, 0.0000)  3 Fe 2.20

***

It turns out model one is the most stable, with the second structure 11.6 kJ/mol of atoms higher.

***

Model one:
DFT (PBE) results for a relaxed structure of BeVFe.

Lattice parameters (Å, degrees): 4.3128 4.3128 4.7272 117.14 117.14 90.00
Closest atoms and distances in Å follow each position.
Fractional positions:
Fe (0.0483, 0.0483, 0.0966)  3 Be 2.07-2.17
Fe (0.2983, 0.7983, 0.5966)  3 Be 2.07-2.17
V (0.4399, 0.4399, 0.8798)  3 Be 2.22-2.33, 2 Fe 2.39
V (0.6899, 0.1899, 0.3798)  3 Be 2.22-2.33, 2 Fe 2.39
Be (0.7618, 0.7618, 0.5237)  3 Fe 2.07-2.17, 2 V 2.22
Be (0.0118, 0.5118, 0.0237)  3 Fe 2.07-2.17, 2 V 2.22

***

Model two:
DFT (PBE) results for a relaxed structure of BeVFe.

Lattice parameters (Å, degrees): 3.9175 2.8122 11.4832 90.00 93.37 90.00
Closest atoms and distances in Å follow each position.
Fractional positions:
V (0.9855, 0.0000, 0.3433)  6 Fe 2.37-2.42, 4 Be 2.46-2.62
V (0.5230, 0.0000, 0.5327)  3 Fe 2.29-2.45, 6 Be 2.38-2.45
V (0.5230, 0.5000, 0.0327)  3 Fe 2.29-2.45, 6 Be 2.38-2.45
V (0.9855, 0.5000, 0.8433)  6 Fe 2.37-2.42, 4 Be 2.46-2.62
Fe (0.4879, 0.0000, 0.8577)  2 Be 2.31, 6 V 2.42-2.45
Fe (0.9524, 0.5000, 0.1766)  3 V 2.29-2.37, 6 Be 2.33-2.47
Fe (0.4879, 0.5000, 0.3577)  2 Be 2.31, 6 V 2.42-2.45
Fe (0.9524, 0.0000, 0.6766)  3 V 2.29-2.37, 6 Be 2.33-2.47
Be (0.4432, 0.5000, 0.6984)  6 Fe 2.31-2.47, 3 V 2.40-2.52, 1 Be 2.54
Be (0.4432, 0.0000, 0.1984)  6 Fe 2.31-2.47, 3 V 2.40-2.52, 1 Be 2.54
Be (0.0326, 0.0000, 0.0189)  2 Fe 2.33, 6 V 2.38-2.46, 1 Be 2.54
Be (0.0326, 0.5000, 0.5189)  2 Fe 2.33, 6 V 2.38-2.46, 1 Be 2.54

***

Model three:
DFT (PBE) results for a relaxed structure of BeVFe.

Lattice parameters (Å, degrees): 2.8662 2.8662 4.3657 109.16 109.16 90.00
Closest atoms and distances in Å follow each position.
Fractional positions:
Fe (0.6615, 0.6615, 0.3229)  4 Be 2.35, 5 V 2.41-2.56
Be (0.0085, 0.0085, 0.0170)  4 Fe 2.35, 5 V 2.45-2.49
V (0.3300, 0.3300, 0.6600)  5 Fe 2.41-2.56, 5 Be 2.45-2.49

***

Model four:
DFT (PBE) results for a relaxed structure of BeVFe.

Lattice parameters (Å, degrees): 3.7978 2.9570 11.3011 90.00 90.00 90.00
Closest atoms and distances in Å follow each position.
Fractional positions:
Be (0.0000, 0.5000, 0.8119)  6 Fe 2.38-2.41, 2 Be 2.40, 4 V 2.60-2.64
Be (0.0000, 0.5000, 0.4795)  4 Fe 2.40-2.64, 2 Be 2.40, 4 V 2.41
Be (0.0000, 0.0000, 0.9795)  4 Fe 2.40-2.64, 2 Be 2.40, 4 V 2.41
Be (0.0000, 0.0000, 0.3119)  6 Fe 2.38-2.41, 2 Be 2.40, 4 V 2.60-2.64
Fe (0.5000, 0.5000, 0.3166)  4 V 2.27-2.40, 4 Be 2.41
Fe (0.0000, 0.5000, 0.1467)  4 Be 2.38-2.40, 4 V 2.41
Fe (0.0000, 0.0000, 0.6467)  4 Be 2.38-2.40, 4 V 2.41
Fe (0.5000, 0.0000, 0.8166)  4 V 2.27-2.40, 4 Be 2.41
V (0.5000, 0.5000, 0.9687)  2 Fe 2.27, 4 Be 2.41, 2 V 2.52
V (0.5000, 0.0000, 0.1491)  6 Fe 2.40-2.41, 2 V 2.52, 2 Be 2.64
V (0.5000, 0.0000, 0.4687)  2 Fe 2.27, 4 Be 2.41, 2 V 2.52
V (0.5000, 0.5000, 0.6491)  6 Fe 2.40-2.41, 2 V 2.52, 2 Be 2.64

***

It turns out model three is the most stable, with the second structure 1.4 kJ/mol of atoms higher.